The following is a DFT calculation (GGA-PBE) of crystalline Pu2GaFeGe2 at its relaxed geometry.

## Properties
Energy relative to the elements = -0.26 eV/atom

Cell lengths 8.4307, 8.4307, 8.4307 Å; angles 140.93, 56.34, 141.07 degrees
With the nearest neighbours (Å) after each atom.
Atoms (fractional coordinates):
Pu 0.1785 0.2178 0.3963  5 Ge 2.95-3.15, 2 Ga 3.24
Pu 0.3215 0.7178 0.0393  5 Ge 2.95-3.15, 2 Ga 3.24
Pu 0.6785 0.2822 0.9607  5 Ge 2.95-3.15, 2 Ga 3.24
Pu 0.8215 0.7822 0.6037  5 Ge 2.95-3.15, 2 Ga 3.24
Ga 0.2500 0.2500 0.0000  4 Ge 2.71, 2 Ga 2.81, 2 Fe 2.82
Ga 0.7500 0.7500 0.0000  4 Ge 2.71, 2 Ga 2.81, 2 Fe 2.82
Fe 0.2500 0.7500 0.5000  4 Ge 2.46
Fe 0.7500 0.2500 0.5000  4 Ge 2.46
Ge 0.1097 0.7095 0.8192  2 Fe 2.46, 2 Ga 2.71
Ge 0.3903 0.2095 0.5997  2 Fe 2.46, 2 Ga 2.71
Ge 0.6097 0.7905 0.4003  2 Fe 2.46, 2 Ga 2.71
Ge 0.8903 0.2905 0.1808  2 Fe 2.46, 2 Ga 2.71